{
  "formula": "RbNiHg3",
  "functional": "PBE-GGA",
  "state": "optimized geometry",
  "lattice": [[-1.547, -1.938, 4.597], [-2.161, -4.077, -2.447], [4.496, -2.627, 0.405]],
  "species": ["Ni", "Hg", "Hg", "Hg", "Rb"],
  "frac_coords": [[0.000, 0.000, 0.000], [0.000, 0.500, 0.000], [0.000, 0.000, 0.500], [0.500, 0.000, 0.000], [0.500, 0.500, 0.500]],
  "final_energy_ev_per_cell": -8.26,
  "sg": "Pm-3m"
}